Record 1
# Ca3CdNi GGA-PBE optimized geometry
data_Ca3CdNi
_chemical_formula_sum 'Ca6 Cd2 Ni2'
_cell_length_a 8.305
_cell_length_b 4.204
_cell_length_c 8.765
_cell_angle_alpha 90.00
_cell_angle_beta 109.58
_cell_angle_gamma 90.00
_space_group_name_H-M_alt 'P 1 21/m 1'
_space_group_IT_number 11
loop_
_space_group_symop_operation_xyz
'x,y,z'
'-x,-y,-z'
'-x,y+1/2,-z'
'x,-y+1/2,z'
loop_
_atom_site_label
_atom_site_fract_x
_atom_site_fract_y
_atom_site_fract_z
Ca1 0.065 0.250 0.240
Ca2 0.304 0.250 0.916
Ca3 0.325 0.750 0.579
Cd1 0.358 0.750 0.206
Ni1 0.047 0.250 0.566
# Excess energy over the best structure of this formula in the dataset ... 0.000 eV per atom
# DOS(E_F) ... 4.1 states/eV/f.u.
# Energy relative to the elements ... -0.1957 eV per atom
# Total moment ... 0.000 μB/atom
# Mass density ... 3.355 g/cm³
# Volume ... 288.4 Å³ per cell

=====

Record 2
# CaCdNi2 GGA-PBE optimized geometry
data_CaCdNi2
_chemical_formula_sum 'Ca2 Cd2 Ni4'
_cell_length_a 7.656
_cell_length_b 4.412
_cell_length_c 5.398
_cell_angle_alpha 90.00
_cell_angle_beta 118.06
_cell_angle_gamma 90.00
_space_group_name_H-M_alt 'C 1 2/m 1'
_space_group_IT_number 12
loop_
_space_group_symop_operation_xyz
'x,y,z'
'-x,-y,-z'
'-x,y,-z'
'x,-y,z'
'x+1/2,y+1/2,z'
'-x+1/2,-y+1/2,-z'
'-x+1/2,y+1/2,-z'
'x+1/2,-y+1/2,z'
loop_
_atom_site_label
_atom_site_fract_x
_atom_site_fract_y
_atom_site_fract_z
Ca1 0.000 0.000 0.000
Cd1 0.000 0.500 0.500
Ni1 0.190 0.000 0.568
# DOS(E_F) ... 2.8 states/eV/f.u.
# Energy relative to the elements ... -0.0677 eV per atom
# Total moment ... 0.000 μB/atom
# Mass density ... 5.570 g/cm³
# Volume ... 160.9 Å³ per cell

=====

Record 3
# Ca2CdNi2 GGA-PBE optimized geometry
data_Ca2CdNi2
_chemical_formula_sum 'Ca4 Cd2 Ni4'
_cell_length_a 3.442
_cell_length_b 3.442
_cell_length_c 18.775
_cell_angle_alpha 90.00
_cell_angle_beta 90.00
_cell_angle_gamma 90.00
_space_group_name_H-M_alt 'I 4/m m m'
_space_group_IT_number 139
_space_group_name_Hall '-I 4 2'
loop_
_atom_site_label
_atom_site_fract_x
_atom_site_fract_y
_atom_site_fract_z
Ca1 0.000 0.000 0.127
Cd1 0.000 0.000 0.500
Ni1 0.000 0.500 0.250
# DOS(E_F) ... 5.8 states/eV/f.u.
# Energy relative to the elements ... -0.0133 eV per atom
# Total moment ... 0.077 μB/atom
# Mass density ... 4.628 g/cm³
# Volume ... 222.4 Å³ per cell

=====

Record 4
# CaCdNi2 GGA-PBE optimized geometry
data_CaCdNi2
_chemical_formula_sum 'Ca3 Cd3 Ni6'
_cell_length_a 3.1357
_cell_length_b 3.1357
_cell_length_c 25.3596
_cell_angle_alpha 90.00
_cell_angle_beta 90.00
_cell_angle_gamma 120.00
_space_group_name_H-M_alt 'R -3 m'
_space_group_IT_number 166
_space_group_name_Hall '-R 3 2"'
loop_
_atom_site_label
_atom_site_fract_x
_atom_site_fract_y
_atom_site_fract_z
Ca1 0.0000 0.0000 0.0000
Cd1 0.0000 0.0000 0.5000
Ni1 0.0000 0.0000 0.2466
# DOS(E_F) ... 2.7 states/eV/f.u.
# Energy relative to the elements ... 0.3542 eV per atom
# Total moment ... 0.000 μB/atom
# Mass density ... 6.226 g/cm³
# Volume ... 215.9 Å³ per cell

=====

Record 5
# Ca3Cd2Ni7 GGA-PBE optimized geometry
data_Ca3Cd2Ni7
_chemical_formula_sum 'Ca9 Cd6 Ni21'
_cell_length_a 5.2442
_cell_length_b 5.2442
_cell_length_c 24.9932
_cell_angle_alpha 90.00
_cell_angle_beta 90.00
_cell_angle_gamma 120.00
_space_group_name_H-M_alt 'R -3 m'
_space_group_IT_number 166
_space_group_name_Hall '-R 3 2"'
loop_
_atom_site_label
_atom_site_fract_x
_atom_site_fract_y
_atom_site_fract_z
Ca1 0.0000 0.0000 0.0000
Ca2 0.0000 0.0000 0.1402
Cd1 0.0000 0.0000 0.3329
Ni1 0.0000 0.0000 0.5000
Ni2 0.0028 0.5014 0.0880
# DOS(E_F) ... 12.7 states/eV/f.u.
# Energy relative to the elements ... -0.1316 eV per atom
# Total moment ... 0.000 μB/atom
# Mass density ... 6.326 g/cm³
# Volume ... 595.3 Å³ per cell

=====

Record 6
# CaCdNi3 GGA-PBE optimized geometry
data_CaCdNi3
_chemical_formula_sum 'Ca1 Cd1 Ni3'
_cell_length_a 4.734
_cell_length_b 4.734
_cell_length_c 4.734
_cell_angle_alpha 90.00
_cell_angle_beta 90.00
_cell_angle_gamma 90.00
_space_group_name_H-M_alt 'P m -3 m'
_space_group_IT_number 221
_space_group_name_Hall '-P 4 2 3'
loop_
_atom_site_label
_atom_site_fract_x
_atom_site_fract_y
_atom_site_fract_z
Ca1 0.000 0.000 0.000
Cd1 0.500 0.500 0.500
Ni1 0.000 0.500 0.500
# Excess energy over the best structure of this formula in the dataset ... 0.000 eV per atom
# DOS(E_F) ... 2.8 states/eV/f.u.
# Energy relative to the elements ... 0.7168 eV per atom
# Total moment ... 0.000 μB/atom
# Mass density ... 5.143 g/cm³
# Volume ... 106.1 Å³ per cell

=====

Record 7
# CaCd2Ni2 GGA-PBE optimized geometry
data_CaCd2Ni2
_chemical_formula_sum 'Ca2 Cd4 Ni4'
_cell_length_a 7.829
_cell_length_b 7.829
_cell_length_c 2.991
_cell_angle_alpha 90.00
_cell_angle_beta 90.00
_cell_angle_gamma 90.00
_space_group_name_H-M_alt 'P 4/m b m'
_space_group_IT_number 127
_space_group_name_Hall '-P 4 2ab'
loop_
_atom_site_label
_atom_site_fract_x
_atom_site_fract_y
_atom_site_fract_z
Ca1 0.000 0.000 0.000
Cd1 0.129 0.371 0.000
Ni1 0.170 0.670 0.500
# Excess energy over the best structure of this formula in the dataset ... 0.094 eV per atom
# DOS(E_F) ... 2.9 states/eV/f.u.
# Energy relative to the elements ... 0.0116 eV per atom
# Total moment ... 0.000 μB/atom
# Mass density ... 6.924 g/cm³
# Volume ... 183.4 Å³ per cell

=====

Record 8
# CaCd3Ni8 GGA-PBE optimized geometry
data_CaCd3Ni8
_chemical_formula_sum 'Ca3 Cd9 Ni24'
_cell_length_a 4.9458
_cell_length_b 4.9458
_cell_length_c 24.1946
_cell_angle_alpha 90.00
_cell_angle_beta 90.00
_cell_angle_gamma 120.00
_space_group_name_H-M_alt 'R 3 m'
_space_group_IT_number 160
_space_group_name_Hall 'R 3 -2"'
loop_
_atom_site_label
_atom_site_fract_x
_atom_site_fract_y
_atom_site_fract_z
Ca1 0.0000 0.0000 0.0000
Cd1 0.0000 0.0000 0.1263
Cd2 0.0000 0.0000 0.4996
Cd3 0.0000 0.0000 0.6227
Ni1 0.0000 0.0000 0.3121
Ni2 0.0000 0.0000 0.8123
Ni3 0.0012 0.5006 0.0637
Ni4 0.1679 0.3357 0.8945
# DOS(E_F) ... 14.5 states/eV/f.u.
# Energy relative to the elements ... -0.0469 eV per atom
# Total moment ... 0.168 μB/atom
# Mass density ... 8.231 g/cm³
# Volume ... 512.5 Å³ per cell

=====

Question: Which of these has the lowest energy relative to the elements?
Answer: Ca3CdNi